Entry 1:
DFT (PBE) results for MgWSe2 after structural relaxation.

Results
raw formation energy = -0.712 eV/f.u.
symmetry = R-3m (166)
E_tot = -22.23 eV/cell

Unit cell a=9.4215 b=9.4215 c=9.4215 alpha=20.12 beta=20.12 gamma=20.12
Fractional coordinates of all 4 atoms:
Mg  0.0000  0.0000  0.0000
W  0.5000  0.5000  0.5000
Se  0.1041  0.1041  0.1041
Se  0.8959  0.8959  0.8959

***

Entry 2:
DFT (PBE) results for MgWSe2 after structural relaxation.

Results
raw formation energy = 3.358 eV/f.u.
symmetry = F-43m (216)
E_tot = -18.16 eV/cell

Unit cell a=4.7335 b=4.7335 c=4.7335 alpha=60.00 beta=60.00 gamma=60.00
Fractional coordinates of all 4 atoms:
Mg  0.0000  0.0000  0.0000
W  0.2500  0.2500  0.2500
Se  0.5000  0.5000  0.5000
Se  0.7500  0.7500  0.7500

***

Entry 3:
DFT (PBE) results for MgWSe after structural relaxation.

Results
raw formation energy = 0.260 eV/f.u.
symmetry = I4mm (107)
E_tot = -17.77 eV/cell

Unit cell a=5.8124 b=5.8124 c=5.8124 alpha=148.11 beta=148.11 gamma=45.72
Fractional coordinates of all 3 atoms:
Mg  0.0000  0.0000  0.0000
W  0.6806  0.6806  0.0000
Se  0.2978  0.2978  0.0000

***

Entry 4:
DFT (PBE) results for MgWSe after structural relaxation.

Results
raw formation energy = 1.126 eV/f.u.
symmetry = P-6m2 (187)
E_tot = -16.91 eV/cell

Unit cell a=4.3800 b=4.3800 c=3.2345 alpha=90.00 beta=90.00 gamma=120.00
Fractional coordinates of all 3 atoms:
Mg  0.0000  0.0000  0.0000
W  0.3333  0.6667  0.5000
Se  0.6667  0.3333  0.5000